{
  "formula": "SrPmTc2O8",
  "functional": "GGA-PBE",
  "state": "relaxed",
  "dos_ef_per_ev_cell": 5.53,
  "rho_g_cm3": 5.4,
  "e_form_raw_mev_per_atom": -2115,
  "crystal_system": "tetragonal",
  "lattice": [[5.3653, 0.0000, 0.0000], [0.0000, 5.3653, 0.0000], [-2.6827, -2.6827, 5.9374]],
  "species": ["O", "O", "O", "O", "O", "O", "O", "O", "Sr", "Tc", "Tc", "Pm"],
  "frac_coords": [[0.1744, 0.5799, 0.8470], [0.7329, 0.8256, 0.1530], [0.0294, 0.4150, 0.3322], [0.4201, 0.3274, 0.1530], [0.5850, 0.6972, 0.6678], [0.3028, 0.9172, 0.3322], [0.6726, 0.2671, 0.8470], [0.0828, 0.9706, 0.6678], [0.7500, 0.2500, 0.5000], [0.5000, 0.5000, 0.0000], [0.2500, 0.7500, 0.5000], [0.0000, 0.0000, 0.0000]]
}